Material: BaCdPb2
Method: DFT, meta-GGA SCAN
State: PBEsol geometry

- DFT total energy (eV/atom) = -55.7646
- calculated density (g/cm³) = 9.0
- energy of formation from the pure elements (eV/f.u.) = -1.53

Unit cell a=5.0000 b=5.0000 c=4.8781 alpha=90.00 beta=90.00 gamma=90.00
Closest atoms and distances in Å follow each position.
Space group P4/mmm (No. 123)
One atom of each set of equivalent atoms:
Ba 0.0000 0.0000 0.0000 [1 per cell]  8 Pb 3.49, 4 Cd 3.54
Cd 0.5000 0.5000 0.0000 [1 per cell]  8 Pb 3.49, 4 Ba 3.54
Pb 0.0000 0.5000 0.5000 [2 per cell]  4 Cd 3.49, 4 Ba 3.49, 4 Pb 3.54